# 1
Below is a relaxed structure of HfTi3Mo, with properties calculated at the GGA-PBEsol level.

Cell lengths 4.6318, 4.6318, 4.6318 Å; angles 90.00, 90.00, 90.00 degrees
Space group Pm-3m (No. 221)
Symmetry-distinct sites (fractional):
1 Hf 0.0000 0.0000 0.0000 x1
2 Ti 0.0000 0.5000 0.5000 x3
3 Mo 0.5000 0.5000 0.5000 x1

Final energy in eV/atom: -8.752
V in Å³/cell: 99.4
Energy of formation in meV/atom: 695

***

# 2
Below is a relaxed structure of NaCo2P3O10, with properties calculated at the GGA-PBEsol level.

Cell lengths 4.7793, 8.2721, 8.9599 Å; angles 90.00, 97.88, 90.00 degrees
Space group P2_1/m (No. 11)
Symmetry-distinct sites (fractional):
1 Na 0.0000 0.0000 0.0000 x2
2 Co 0.0418 0.0838 0.3477 x4
3 P 0.3326 0.2500 0.8140 x2
4 P 0.3881 0.7500 0.4555 x2
5 P 0.4702 0.2500 0.1557 x2
6 O 0.1680 0.0951 0.7929 x4
7 O 0.2190 0.7500 0.7691 x2
8 O 0.2265 0.5959 0.4854 x4
9 O 0.3062 0.2500 0.4650 x2
10 O 0.3104 0.0966 0.1831 x4
11 O 0.4059 0.7500 0.2784 x2
12 O 0.4794 0.7500 0.0219 x2

Final energy in eV/atom: -7.236
Formation energy without anion corrections in eV/atom: -1.815
V in Å³/cell: 350.9

***

Copy entry 2 word for word.
Below is a relaxed structure of NaCo2P3O10, with properties calculated at the GGA-PBEsol level.

Cell lengths 4.7793, 8.2721, 8.9599 Å; angles 90.00, 97.88, 90.00 degrees
Space group P2_1/m (No. 11)
Symmetry-distinct sites (fractional):
1 Na 0.0000 0.0000 0.0000 x2
2 Co 0.0418 0.0838 0.3477 x4
3 P 0.3326 0.2500 0.8140 x2
4 P 0.3881 0.7500 0.4555 x2
5 P 0.4702 0.2500 0.1557 x2
6 O 0.1680 0.0951 0.7929 x4
7 O 0.2190 0.7500 0.7691 x2
8 O 0.2265 0.5959 0.4854 x4
9 O 0.3062 0.2500 0.4650 x2
10 O 0.3104 0.0966 0.1831 x4
11 O 0.4059 0.7500 0.2784 x2
12 O 0.4794 0.7500 0.0219 x2

Final energy in eV/atom: -7.236
Formation energy without anion corrections in eV/atom: -1.815
V in Å³/cell: 350.9

***

Q: What is the V in the second record?
A: 350.9 Å³/cell

***

Copy entry 1 word for word.
Below is a relaxed structure of HfTi3Mo, with properties calculated at the GGA-PBEsol level.

Cell lengths 4.6318, 4.6318, 4.6318 Å; angles 90.00, 90.00, 90.00 degrees
Space group Pm-3m (No. 221)
Symmetry-distinct sites (fractional):
1 Hf 0.0000 0.0000 0.0000 x1
2 Ti 0.0000 0.5000 0.5000 x3
3 Mo 0.5000 0.5000 0.5000 x1

Final energy in eV/atom: -8.752
V in Å³/cell: 99.4
Energy of formation in meV/atom: 695